# 1
This record from Alexandria via LeMat-Bulk describes CuRe2PtN at its PBEsol-relaxed geometry. The functional is SCAN.

The structure in POSCAR format:
```
CuRe2PtN
1.0
4.6849 0.0000 0.0000
0.0000 4.6849 0.0000
0.0000 0.0000 3.2183
Cu Re Pt N
1 2 1 1
direct
0.0000 0.0000 0.0000
0.0000 0.5000 0.0000
0.5000 0.0000 0.0000
0.5000 0.5000 0.5000
0.0000 0.0000 0.5000
```

- E_form (uncorrected): 1.964 eV per atom
- Magnetization: 0.00 μB/cell
- Space group: No. 123
- E_tot: -45.41 eV per atom

---

# 2
This record from Alexandria via LeMat-Bulk describes TiSb2TePt at its PBEsol-relaxed geometry. The functional is SCAN.

The structure in POSCAR format:
```
TiSb2TePt
1.0
5.1017 0.0000 0.0000
0.0000 5.1017 0.0000
0.0000 0.0000 5.3604
Ti Sb Te Pt
1 2 1 1
direct
0.0000 0.0000 0.0000
0.0000 0.5000 0.5000
0.5000 0.0000 0.5000
0.5000 0.5000 0.0000
0.5000 0.5000 0.5000
```

- E_form (uncorrected): 0.468 eV per atom
- Magnetization: 2.25 μB/cell
- Space group: No. 123
- E_tot: -39.13 eV per atom

---

# 3
This record from Alexandria via LeMat-Bulk describes P2WSe at its PBEsol-relaxed geometry. The functional is SCAN.

The structure in POSCAR format:
```
P2WSe
1.0
2.7226 -3.5430 0.0000
2.7226 3.5430 0.0000
0.0000 0.0000 3.0457
P W Se
2 1 1
direct
0.0000 0.5000 0.0000
0.5000 0.0000 0.0000
0.0000 0.0000 0.5000
0.5000 0.5000 0.5000
```

- E_form (uncorrected): 0.870 eV per atom
- Magnetization: 0.00 μB/cell
- Space group: No. 65
- E_tot: -26.77 eV per atom

---

# 4
This record from Alexandria via LeMat-Bulk describes Ti2Se at its PBEsol-relaxed geometry. The functional is SCAN.

The structure in POSCAR format:
```
Ti2Se
1.0
17.6240 0.0000 0.0000
0.0000 3.4127 0.0000
0.0000 0.0000 9.4180
Ti Se
24 12
direct
0.0131 0.2500 0.1110
0.0315 0.7500 0.3863
0.1066 0.2500 0.8489
0.1466 0.7500 0.0801
0.1589 0.2500 0.5380
0.2280 0.7500 0.7519
0.2720 0.2500 0.2519
0.3411 0.7500 0.0380
0.3534 0.2500 0.5801
0.3934 0.7500 0.3489
0.4685 0.2500 0.8863
0.4869 0.7500 0.6110
0.5131 0.2500 0.3890
0.5315 0.7500 0.1137
0.6066 0.2500 0.6511
0.6466 0.7500 0.4199
0.6589 0.2500 0.9620
0.7280 0.7500 0.7481
0.7720 0.2500 0.2481
0.8411 0.7500 0.4620
0.8534 0.2500 0.9199
0.8934 0.7500 0.1511
0.9685 0.2500 0.6137
0.9869 0.7500 0.8890
0.0749 0.7500 0.6596
0.1282 0.2500 0.2795
0.2392 0.2500 0.9654
0.2608 0.7500 0.4654
0.3718 0.7500 0.7795
0.4251 0.2500 0.1596
0.5749 0.7500 0.8404
0.6282 0.2500 0.2205
0.7392 0.2500 0.5346
0.7608 0.7500 0.0346
0.8718 0.7500 0.7205
0.9251 0.2500 0.3404
```

- E_form (uncorrected): -0.909 eV per atom
- Magnetization: 0.00 μB/cell
- Space group: No. 62
- E_tot: -18.29 eV per atom

---

Question: Among the records above, which one has the highest magnetization?
Answer: TiSb2TePt

---

Question: Among the records above, which one has the highest magnetization?
Answer: TiSb2TePt

---

Question: Which value of magnetization does entry 2 give?
Answer: 2.25 μB/cell